#a
CsLiTl: relaxed, GGA-PBE.

Its total moment is 0.00 μB/f.u. Its symmetry is P-6m2 (187).

a b c (Å): 5.093 5.093 5.930
angles (deg): 90.00 90.00 120.00
Sites, in units of the cell vectors:
Cs (0.000, 0.000, 0.000)
Li (0.333, 0.667, 0.500)
Tl (0.667, 0.333, 0.500)

#b
CsLiTl: relaxed, GGA-PBE.

Its total moment is 0.00 μB/f.u. Its symmetry is P-3m1 (164).

a b c (Å): 4.929 4.929 13.514
angles (deg): 90.00 90.00 120.00
Sites, in units of the cell vectors:
Cs (0.000, 0.000, 0.187)
Cs (0.000, 0.000, 0.813)
Li (0.333, 0.667, 0.378)
Li (0.667, 0.333, 0.622)
Tl (0.333, 0.667, 0.581)
Tl (0.667, 0.333, 0.419)

#c
CsLiTl: relaxed, GGA-PBE.

Its total moment is 0.00 μB/f.u. Its symmetry is I4mm (107).

a b c (Å): 7.581 7.581 7.581
angles (deg): 148.89 148.89 44.57
Sites, in units of the cell vectors:
Cs (0.000, 0.000, 0.000)
Li (0.732, 0.732, 0.000)
Tl (0.289, 0.289, 0.000)

Least stable structure among those shown: #a.